(1)
Entry from the Alexandria database: Pr3Si2SbPt9 after structural relaxation (PBE).

a b c (Å): 6.4791 6.4791 9.1595
angles (deg): 90.00 90.00 120.00
Closest atoms and distances in Å follow each position.
Fractional coordinates of all 15 atoms:
Pr 0.3333 0.6667 0.7199  9 Pt 3.18-3.25
Pr 0.0000 0.0000 0.0000  12 Pt 2.99-3.24
Pr 0.6667 0.3333 0.2801  9 Pt 3.18-3.25
Si 0.3333 0.6667 0.1743  6 Pt 2.29-2.46
Si 0.6667 0.3333 0.8257  6 Pt 2.29-2.46
Sb 0.0000 0.0000 0.5000  6 Pt 2.65
Pt 0.8539 0.1461 0.7276  1 Si 2.29
Pt 0.8539 0.7078 0.7276  1 Si 2.29
Pt 0.2922 0.1461 0.7276  1 Si 2.29
Pt 0.7078 0.8539 0.2724  1 Si 2.29
Pt 0.1461 0.2922 0.2724  1 Si 2.29
Pt 0.1461 0.8539 0.2724  1 Si 2.29
Pt 0.5000 0.0000 0.0000  2 Si 2.46
Pt 0.0000 0.5000 0.0000  2 Si 2.46
Pt 0.5000 0.5000 0.0000  2 Si 2.46

Summary:
The calculation puts the uncorrected formation energy at -712 meV/atom. The crystal system is trigonal.

---

(2)
Entry from the Alexandria database: PrSi2Sb2Pt7 after structural relaxation (PBE).

a b c (Å): 3.9877 3.9877 15.4775
angles (deg): 82.60 82.60 90.00
Closest atoms and distances in Å follow each position.
Fractional coordinates of all 12 atoms:
Pr 0.0000 0.0000 0.0000  12 Pt 2.82-3.08
Si 0.6206 0.6206 0.7578  5 Pt 2.35-2.40
Si 0.3794 0.3794 0.2422  5 Pt 2.35-2.40
Sb 0.7887 0.7887 0.4229  5 Pt 2.74-2.85
Sb 0.2113 0.2113 0.5771  5 Pt 2.74-2.85
Pt 0.5000 0.5000 0.0000  4 Pr 2.82, 8 Pt 3.07-3.08
Pt 0.3011 0.3011 0.3968  1 Si 2.35
Pt 0.6989 0.6989 0.6032  1 Si 2.35
Pt 0.9236 0.4236 0.1538  2 Si 2.40
Pt 0.4236 0.9236 0.1538  2 Si 2.40
Pt 0.5764 0.0764 0.8462  2 Si 2.40
Pt 0.0764 0.5764 0.8462  2 Si 2.40

Summary:
The calculation puts the uncorrected formation energy at -614 meV/atom. The crystal system is tetragonal.

---

(3)
Entry from the Alexandria database: Pr2Si3SbPt4 after structural relaxation (PBE).

a b c (Å): 4.3776 4.3776 10.1372
angles (deg): 90.00 90.00 90.00
Closest atoms and distances in Å follow each position.
Fractional coordinates of all 10 atoms:
Pr 0.5000 0.0000 0.2403  8 Pt 3.27-3.32, 6 Si 3.32-3.42, 2 Sb 3.42
Pr 0.0000 0.5000 0.7597  8 Pt 3.27-3.32, 6 Si 3.32-3.42, 2 Sb 3.42
Si 0.0000 0.0000 0.5000  4 Pt 2.61
Si 0.5000 0.0000 0.8777  5 Pt 2.41-2.52
Si 0.0000 0.5000 0.1223  5 Pt 2.41-2.52
Sb 0.5000 0.5000 0.5000  4 Pt 2.61
Pt 0.5000 0.5000 0.0000  4 Si 2.52
Pt 0.0000 0.0000 0.0000  4 Si 2.52
Pt 0.5000 0.0000 0.6400  3 Si 2.41-2.61, 2 Sb 2.61
Pt 0.0000 0.5000 0.3600  3 Si 2.41-2.61, 2 Sb 2.61

Summary:
The calculation puts the uncorrected formation energy at -978 meV/atom. The crystal system is tetragonal.

---

(4)
Entry from the Alexandria database: Pr2SmSb3Pt4 after structural relaxation (PBE).

a b c (Å): 4.5707 4.5707 11.4746
angles (deg): 90.00 90.00 90.00
Closest atoms and distances in Å follow each position.
Fractional coordinates of all 10 atoms:
Pr 0.5000 0.0000 0.2112  8 Pt 3.33-3.62, 4 Sb 3.37
Pr 0.0000 0.5000 0.7888  8 Pt 3.33-3.62, 4 Sb 3.37
Sm 0.5000 0.5000 0.5000  4 Pt 2.84
Sb 0.0000 0.0000 0.5000  4 Pt 2.84
Sb 0.5000 0.0000 0.8720  5 Pt 2.59-2.72
Sb 0.0000 0.5000 0.1280  5 Pt 2.59-2.72
Pt 0.5000 0.5000 0.0000  4 Sb 2.72
Pt 0.0000 0.0000 0.0000  4 Sb 2.72
Pt 0.5000 0.0000 0.6464  3 Sb 2.59-2.84, 2 Sm 2.84
Pt 0.0000 0.5000 0.3536  3 Sb 2.59-2.84, 2 Sm 2.84

Summary:
The calculation puts the uncorrected formation energy at -929 meV/atom. The crystal system is tetragonal.

---

(5)
Entry from the Alexandria database: Pr2Sn3SbPt4 after structural relaxation (PBE).

a b c (Å): 4.6801 4.6801 10.5224
angles (deg): 90.00 90.00 90.00
Closest atoms and distances in Å follow each position.
Fractional coordinates of all 10 atoms:
Pr 0.5000 0.0000 0.2368  8 Pt 3.42-3.61, 7 Sn 3.51-3.82, 2 Sb 3.63
Pr 0.0000 0.5000 0.7632  8 Pt 3.42-3.61, 7 Sn 3.51-3.82, 2 Sb 3.63
Sn 0.0000 0.0000 0.5000  4 Pt 2.69
Sn 0.5000 0.0000 0.8735  5 Pt 2.61-2.69
Sn 0.0000 0.5000 0.1265  5 Pt 2.61-2.69
Sb 0.5000 0.5000 0.5000  4 Pt 2.69
Pt 0.5000 0.5000 0.0000  4 Sn 2.69
Pt 0.0000 0.0000 0.0000  4 Sn 2.69
Pt 0.5000 0.0000 0.6254  3 Sn 2.61-2.69, 2 Sb 2.69
Pt 0.0000 0.5000 0.3746  3 Sn 2.61-2.69, 2 Sb 2.69

Summary:
The calculation puts the uncorrected formation energy at -835 meV/atom. The crystal system is tetragonal.

---

(6)
Entry from the Alexandria database: Pr2TiSb3Pt4 after structural relaxation (PBE).

a b c (Å): 4.4729 4.4729 11.0466
angles (deg): 90.00 90.00 90.00
Closest atoms and distances in Å follow each position.
Fractional coordinates of all 10 atoms:
Pr 0.5000 0.0000 0.2366  6 Sb 3.35-3.67, 8 Pt 3.44-3.50, 2 Ti 3.67
Pr 0.0000 0.5000 0.7634  6 Sb 3.35-3.67, 8 Pt 3.44-3.50, 2 Ti 3.67
Ti 0.5000 0.5000 0.5000  4 Pt 2.64
Sb 0.0000 0.0000 0.5000  4 Pt 2.64
Sb 0.5000 0.0000 0.8638  5 Pt 2.61-2.70
Sb 0.0000 0.5000 0.1362  5 Pt 2.61-2.70
Pt 0.5000 0.5000 0.0000  4 Sb 2.70
Pt 0.0000 0.0000 0.0000  4 Sb 2.70
Pt 0.5000 0.0000 0.6275  3 Sb 2.61-2.64, 2 Ti 2.64
Pt 0.0000 0.5000 0.3725  3 Sb 2.61-2.64, 2 Ti 2.64

Summary:
The calculation puts the uncorrected formation energy at -883 meV/atom. The crystal system is tetragonal.

---

(7)
Entry from the Alexandria database: Pr2USb3Pt4 after structural relaxation (PBE).

a b c (Å): 4.5745 4.5745 11.3468
angles (deg): 90.00 90.00 90.00
Closest atoms and distances in Å follow each position.
Fractional coordinates of all 10 atoms:
Pr 0.5000 0.0000 0.2158  8 Pt 3.35-3.61, 4 Sb 3.39
Pr 0.0000 0.5000 0.7842  8 Pt 3.35-3.61, 4 Sb 3.39
U 0.5000 0.5000 0.5000  4 Pt 2.81
Sb 0.0000 0.0000 0.5000  4 Pt 2.81
Sb 0.5000 0.0000 0.8726  5 Pt 2.60-2.71
Sb 0.0000 0.5000 0.1274  5 Pt 2.60-2.71
Pt 0.5000 0.5000 0.0000  4 Sb 2.71
Pt 0.0000 0.0000 0.0000  4 Sb 2.71
Pt 0.5000 0.0000 0.6436  3 Sb 2.60-2.81, 2 U 2.81
Pt 0.0000 0.5000 0.3564  3 Sb 2.60-2.81, 2 U 2.81

Summary:
The calculation puts the uncorrected formation energy at -775 meV/atom. The crystal system is tetragonal.

---

(8)
Entry from the Alexandria database: Pr2YSb3Pt4 after structural relaxation (PBE).

a b c (Å): 4.5354 4.5354 11.4802
angles (deg): 90.00 90.00 90.00
Closest atoms and distances in Å follow each position.
Fractional coordinates of all 10 atoms:
Pr 0.5000 0.0000 0.2145  8 Pt 3.35-3.60, 4 Sb 3.35
Pr 0.0000 0.5000 0.7855  8 Pt 3.35-3.60, 4 Sb 3.35
Y 0.5000 0.5000 0.5000  4 Pt 2.81
Sb 0.0000 0.0000 0.5000  4 Pt 2.81
Sb 0.5000 0.0000 0.8700  5 Pt 2.60-2.71
Sb 0.0000 0.5000 0.1300  5 Pt 2.60-2.71
Pt 0.5000 0.5000 0.0000  4 Sb 2.71
Pt 0.0000 0.0000 0.0000  4 Sb 2.71
Pt 0.5000 0.0000 0.6439  3 Sb 2.60-2.81, 2 Y 2.81
Pt 0.0000 0.5000 0.3561  3 Sb 2.60-2.81, 2 Y 2.81

Summary:
The calculation puts the uncorrected formation energy at -948 meV/atom. The crystal system is tetragonal.